! CaRe2Mo, optimized geometry, DFT GGA-PBE; values from VASP
! Space group ... Fm-3m (225)
! Energy relative to the lowest polymorph listed for this composition ... 0.83 eV/f.u.
! ΔE_f ... 0.673 eV/atom
&SYSTEM
  ibrav = 0, nat = 4, ntyp = 3
/
ATOMIC_SPECIES
Re 186.21 Re.upf
Mo 95.94 Mo.upf
Ca 40.08 Ca.upf
CELL_PARAMETERS angstrom
0.000 3.227 3.227
3.227 0.000 3.227
3.227 3.227 0.000
ATOMIC_POSITIONS crystal
Re 0.250 0.250 0.250
Re 0.750 0.750 0.750
Mo 0.500 0.500 0.500
Ca 0.000 0.000 0.000

***

! Tl2FeI8, optimized geometry, DFT GGA-PBE; values from VASP
! Space group ... C2/m (12)
! Raw formation energy ... -0.090 eV per atom
&SYSTEM
  ibrav = 0, nat = 11, ntyp = 3
/
ATOMIC_SPECIES
I 126.90 I.upf
Tl 204.38 Tl.upf
Fe 55.84 Fe.upf
CELL_PARAMETERS angstrom
-6.097 -1.511 0.427
4.061 -1.395 6.631
-2.777 12.435 4.339
ATOMIC_POSITIONS crystal
I 0.140 0.774 0.911
I 0.367 0.226 0.089
I 0.331 0.662 0.598
I 0.669 0.338 0.402
I 0.633 0.774 0.911
I 0.860 0.226 0.089
I 0.377 0.755 0.240
I 0.623 0.245 0.760
Tl 0.228 0.457 0.386
Tl 0.772 0.543 0.614
Fe 0.000 0.000 0.000

***

! BaNiBr2, optimized geometry, DFT GGA-PBE; values from VASP
! Space group ... Cm (8)
! Energy relative to the lowest polymorph listed for this composition ... 0.19 eV/f.u.
! Raw formation energy ... -0.994 eV per atom
&SYSTEM
  ibrav = 0, nat = 4, ntyp = 3
/
ATOMIC_SPECIES
Ba 137.33 Ba.upf
Br 79.90 Br.upf
Ni 58.69 Ni.upf
CELL_PARAMETERS angstrom
6.144 0.018 -0.303
4.668 3.995 -0.303
-0.290 -0.107 5.226
ATOMIC_POSITIONS crystal
Ba 0.254 0.254 0.182
Br 0.976 0.976 0.260
Br 0.720 0.720 0.681
Ni 0.550 0.550 0.377

***

! Dy2YTh, optimized geometry, DFT GGA-PBE; values from VASP
! Space group ... P-1 (2)
! Energy relative to the lowest polymorph listed for this composition ... 0.12 eV/f.u.
! ΔE_f ... 0.035 eV/atom
&SYSTEM
  ibrav = 0, nat = 8, ntyp = 3
/
ATOMIC_SPECIES
Dy 162.50 Dy.upf
Y 88.91 Y.upf
Th 232.04 Th.upf
CELL_PARAMETERS angstrom
-2.023 -0.329 -2.904
3.240 -4.472 -3.942
-3.614 -7.873 7.766
ATOMIC_POSITIONS crystal
Dy 0.027 0.013 0.553
Dy 0.486 0.092 0.050
Dy 0.757 0.560 0.055
Dy 0.756 0.545 0.547
Y 0.611 0.313 0.786
Y 0.901 0.792 0.816
Th 0.145 0.309 0.318
Th 0.368 0.796 0.285

***

! CdAg2Te, optimized geometry, DFT GGA-PBE; values from VASP
! Space group ... P2/m (10)
! Energy relative to the lowest polymorph listed for this composition ... 0.00 eV/f.u.
! Raw formation energy ... -0.002 eV per atom
&SYSTEM
  ibrav = 0, nat = 4, ntyp = 3
/
ATOMIC_SPECIES
Te 127.60 Te.upf
Ag 107.87 Ag.upf
Cd 112.41 Cd.upf
CELL_PARAMETERS angstrom
4.243 0.000 0.000
0.000 3.177 -0.015
0.000 0.015 6.804
ATOMIC_POSITIONS crystal
Te 0.500 0.750 0.750
Ag 0.000 0.751 0.045
Ag 0.000 0.749 0.455
Cd 0.500 0.250 0.250

***

! ZnCuTcNi, optimized geometry, DFT GGA-PBE; values from VASP
! Space group ... F-43m (216)
! ΔE_f ... 0.165 eV/atom
&SYSTEM
  ibrav = 0, nat = 4, ntyp = 4
/
ATOMIC_SPECIES
Ni 58.69 Ni.upf
Zn 65.41 Zn.upf
Tc 98.00 Tc.upf
Cu 63.55 Cu.upf
CELL_PARAMETERS angstrom
4.187 0.000 0.000
2.094 3.626 0.000
2.094 1.209 3.419
ATOMIC_POSITIONS crystal
Ni 0.750 0.750 0.750
Zn 0.000 0.000 0.000
Tc 0.500 0.500 0.500
Cu 0.250 0.250 0.250

***

! AcNiP, optimized geometry, DFT GGA-PBE; values from VASP
! Space group ... P-6m2 (187)
! Energy relative to the lowest polymorph listed for this composition ... 0.00 eV/f.u.
! ΔE_f ... -1.040 eV/atom
&SYSTEM
  ibrav = 0, nat = 3, ntyp = 3
/
ATOMIC_SPECIES
Ni 58.69 Ni.upf
Ac 227.00 Ac.upf
P 30.97 P.upf
CELL_PARAMETERS angstrom
4.247 0.000 0.000
0.000 4.123 0.000
0.000 -2.062 3.571
ATOMIC_POSITIONS crystal
Ni 0.167 0.000 0.000
Ac 0.667 0.667 0.333
P 0.167 0.333 0.667

***

! ReC2, optimized geometry, DFT GGA-PBE; values from VASP
! Space group ... P4/mmm (123)
! Energy relative to the lowest polymorph listed for this composition ... 1.36 eV/f.u.
! ΔE_f ... 0.893 eV/atom
&SYSTEM
  ibrav = 0, nat = 3, ntyp = 2
/
ATOMIC_SPECIES
Re 186.21 Re.upf
C 12.01 C.upf
CELL_PARAMETERS angstrom
2.685 0.000 0.000
0.000 2.685 0.000
0.000 0.000 3.856
ATOMIC_POSITIONS crystal
Re 0.500 0.500 0.500
C 0.000 0.000 0.816
C 0.000 0.000 0.184

***

We obtain DFT total energy values of -35.04; -26.59; -15.03; -45.90; -9.77; -20.86; -18.42; -28.22 eV/cell for the records listed above, in that order.